Material: LaSmSb2
Method: DFT, GGA-PBE
State: relaxed

Calculated total energy (eV/atom): -5.699
Space group: R-3m (166)
Density of states at the Fermi level (states/eV per atom): 0.14
Crystal system: trigonal
Energy relative to the lowest polymorph listed for this composition (meV per atom): 0

```
4
Lattice="-1.544 4.267 0.358 -4.286 0.974 -1.182 -4.174 0.360 6.665" Properties=species:S:1:pos:R:3 pbc="T T T"
La -5.002 2.800 2.921
Sm 0.000 0.000 0.000
Sb -7.520 4.190 4.435
Sb -2.483 1.411 1.407
```

***

Material: La5SmSb4
Method: DFT, GGA-PBE
State: relaxed

Calculated total energy (eV/atom): -5.450
Space group: C2/m (12)
Density of states at the Fermi level (states/eV per atom): 0.92
Crystal system: monoclinic

```
10
Lattice="-0.277 4.211 1.491 -2.987 -2.991 7.891 9.871 -1.826 0.275" Properties=species:S:1:pos:R:3 pbc="T T T"
La 4.302 0.317 6.623
La 5.876 1.784 2.773
La 0.731 -2.390 6.884
La -1.632 0.610 4.691
La 2.305 -0.923 3.034
Sm -0.139 2.105 0.746
Sb 3.753 -2.548 7.893
Sb 7.271 0.138 7.681
Sb 2.854 1.942 1.765
Sb -0.664 -0.744 1.977
```

***

Material: La3Sm5Sb8
Method: DFT, GGA-PBE
State: relaxed

Calculated total energy (eV/atom): -5.671
Space group: R-3m (166)
Density of states at the Fermi level (states/eV per atom): 0.14
Crystal system: trigonal

```
16
Lattice="-6.797 5.589 -2.161 -7.834 -0.428 4.534 -2.338 6.686 5.647" Properties=species:S:1:pos:R:3 pbc="T T T"
La -4.567 6.138 1.743
La -1.169 3.343 2.824
La -5.086 3.129 5.091
Sm -3.399 2.795 -1.081
Sm -7.316 2.581 1.187
Sm 0.000 0.000 0.000
Sm -3.917 -0.214 2.267
Sm -8.484 5.924 4.010
Sb -5.423 6.339 4.857
Sb -9.300 6.127 7.101
Sb -8.787 9.105 3.788
Sb -12.707 8.924 6.053
Sb -11.546 5.509 3.163
Sb -7.669 5.720 0.919
Sb -8.182 2.742 4.232
Sb -4.262 2.923 1.967
```

***

Material: LaSmSb2
Method: DFT, GGA-PBE
State: relaxed

Calculated total energy (eV/atom): -5.573
Space group: R3m (160)
Density of states at the Fermi level (states/eV per atom): 0.09
Crystal system: trigonal
Energy relative to the lowest polymorph listed for this composition (meV per atom): 126

```
4
Lattice="4.509 0.000 0.000 2.255 3.905 0.000 2.255 1.302 7.735" Properties=species:S:1:pos:R:3 pbc="T T T"
La 6.764 3.905 7.681
Sm 4.509 2.604 3.914
Sb 2.255 1.302 5.772
Sb 2.255 1.302 1.970
```

***

Material: LaTb2SmSb4
Method: DFT, GGA-PBE
State: relaxed

Calculated total energy (eV/atom): -5.607
Space group: P2/m (10)
Density of states at the Fermi level (states/eV per atom): 0.13
Crystal system: monoclinic

```
8
Lattice="4.482 0.000 0.000 0.000 7.746 -0.150 0.000 2.729 7.260" Properties=species:S:1:pos:R:3 pbc="T T T"
La 2.241 3.873 -0.075
Tb 0.000 2.729 7.260
Tb 2.241 1.364 3.630
Sm 0.000 5.237 3.555
Sb 0.000 7.912 5.283
Sb 4.482 2.563 1.828
Sb 2.241 6.549 1.709
Sb 2.241 3.925 5.401
```

***

Material: LaTbSm2Sb4
Method: DFT, GGA-PBE
State: relaxed

Calculated total energy (eV/atom): -5.623
Space group: P2/m (10)
Density of states at the Fermi level (states/eV per atom): 0.12
Crystal system: monoclinic

```
8
Lattice="-0.071 -3.935 2.178 6.363 -2.259 -3.876 6.344 2.094 3.988" Properties=species:S:1:pos:R:3 pbc="T T T"
La 3.146 -3.097 -0.849
Tb 6.353 -0.083 0.056
Sm 6.344 2.094 3.988
Sm 3.137 -0.921 3.083
Sb 9.510 -0.147 0.043
Sb 3.126 -3.954 2.248
Sb 6.355 -3.126 -0.797
Sb 6.281 -0.975 3.088
```